[1]
Computed, not measured: a relaxed structure of Pm6IrRu2Br3 at the GGA-PBE level of DFT.

Cell and atoms, written as POSCAR:
```
Pm6IrRu2Br3
1.0
3.533 -6.120 0.000
3.533 6.120 0.000
-2.356 0.000 7.810
Pm Ir Ru Br
6 1 2 3
direct
0.097 0.435 0.804
0.228 0.228 0.197
0.435 0.097 0.804
0.565 0.903 0.196
0.772 0.772 0.803
0.903 0.565 0.196
0.500 0.500 0.000
0.166 0.834 0.000
0.834 0.166 0.000
0.000 0.000 0.500
0.331 0.669 0.500
0.669 0.331 0.500
```

**Uncorrected formation energy**: -0.879 eV per atom
**Uncorrected energy**: -71.48 eV per cell
**M_tot**: 0.00 μB/f.u.


[2]
Computed, not measured: a relaxed structure of LiPmAl2 at the GGA-PBE level of DFT.

Cell and atoms, written as POSCAR:
```
LiPmAl2
1.0
2.351 -5.197 0.000
2.351 5.197 0.000
0.000 0.000 6.901
Li Pm Al
2 2 4
direct
0.197 0.803 0.750
0.803 0.197 0.250
0.103 0.897 0.250
0.897 0.103 0.750
0.381 0.619 0.058
0.381 0.619 0.442
0.619 0.381 0.558
0.619 0.381 0.942
```

**Uncorrected energy**: -30.67 eV per cell
**M_tot**: 0.00 μB/f.u.


[3]
Computed, not measured: a relaxed structure of Dy2NpTlO8 at the GGA-PBE level of DFT.

Cell and atoms, written as POSCAR:
```
Dy2NpTlO8
1.0
5.013 0.000 0.000
0.000 7.198 0.000
-0.269 0.000 5.012
Dy Np Tl O
2 1 1 8
direct
0.000 0.249 0.000
0.000 0.751 0.000
0.500 0.500 0.500
0.500 0.000 0.500
0.200 0.000 0.201
0.205 0.500 0.207
0.312 0.292 0.689
0.312 0.708 0.689
0.688 0.292 0.311
0.688 0.708 0.311
0.795 0.500 0.793
0.800 0.000 0.799
```

**Uncorrected formation energy**: -2.579 eV per atom
**Uncorrected energy**: -95.12 eV per cell
**M_tot**: 0.00 μB/f.u.


[4]
Computed, not measured: a relaxed structure of TlB4S7 at the GGA-PBE level of DFT.

Cell and atoms, written as POSCAR:
```
TlB4S7
1.0
13.410 0.000 0.000
0.000 5.580 0.000
0.000 0.000 5.313
Tl B S
2 8 14
direct
0.000 0.184 0.000
0.500 0.816 0.500
0.124 0.668 0.617
0.248 0.172 0.597
0.252 0.828 0.097
0.376 0.332 0.117
0.624 0.332 0.117
0.748 0.828 0.097
0.752 0.172 0.597
0.876 0.668 0.617
0.000 0.806 0.499
0.127 0.716 0.974
0.129 0.340 0.518
0.238 0.843 0.475
0.262 0.157 0.975
0.371 0.660 0.018
0.373 0.284 0.474
0.500 0.194 0.999
0.627 0.284 0.474
0.629 0.660 0.018
0.738 0.157 0.975
0.762 0.843 0.475
0.871 0.340 0.518
0.873 0.716 0.974
```

**Uncorrected formation energy**: -0.331 eV per atom
**Uncorrected energy**: -123.88 eV per cell
**M_tot**: 0.00 μB/f.u.


[5]
Computed, not measured: a relaxed structure of ZnCoCuPt at the GGA-PBE level of DFT.

Cell and atoms, written as POSCAR:
```
ZnCoCuPt
1.0
0.000 2.974 2.974
2.974 0.000 2.974
2.974 2.974 0.000
Zn Co Cu Pt
1 1 1 1
direct
0.000 0.000 0.000
0.750 0.750 0.750
0.500 0.500 0.500
0.250 0.250 0.250
```

**Uncorrected energy**: -18.89 eV per cell
**M_tot**: 1.32 μB/f.u.


[6]
Computed, not measured: a relaxed structure of Te2MoW2S4 at the GGA-PBE level of DFT.

Cell and atoms, written as POSCAR:
```
Te2MoW2S4
1.0
3.297 0.000 0.000
-1.648 2.855 0.000
0.000 0.000 22.512
Te Mo W S
2 1 2 4
direct
0.000 0.000 0.000
0.000 0.000 0.170
0.333 0.667 0.085
0.000 0.000 0.756
0.333 0.667 0.445
0.000 0.000 0.376
0.000 0.000 0.513
0.333 0.667 0.688
0.333 0.667 0.824
```

**Uncorrected formation energy**: -0.571 eV per atom
**Uncorrected energy**: -64.67 eV per cell
**Energy above the lowest structure with this stoichiometry**: 0.002 eV/f.u.
**M_tot**: 0.00 μB/f.u.


[7]
Computed, not measured: a relaxed structure of Cs2NpGaTe4 at the GGA-PBE level of DFT.

Cell and atoms, written as POSCAR:
```
Cs2NpGaTe4
1.0
0.000 8.059 14.176
3.372 0.000 14.176
3.372 8.059 0.000
Cs Np Ga Te
4 2 2 8
direct
0.056 0.056 0.694
0.306 0.306 0.944
0.694 0.694 0.056
0.944 0.944 0.306
0.125 0.125 0.125
0.875 0.875 0.875
0.375 0.375 0.375
0.625 0.625 0.625
0.000 0.361 0.455
0.000 0.639 0.545
0.315 0.545 0.639
0.361 0.000 0.685
0.455 0.685 0.000
0.545 0.315 0.000
0.639 0.000 0.315
0.685 0.455 0.361
```

**Uncorrected formation energy**: -0.698 eV per atom
**Uncorrected energy**: -71.66 eV per cell
**M_tot**: 4.00 μB/f.u.


[8]
Computed, not measured: a relaxed structure of Ti4PH5 at the GGA-PBE level of DFT.

Cell and atoms, written as POSCAR:
```
Ti4PH5
1.0
6.540 0.000 0.000
0.000 7.469 0.000
0.000 0.000 3.854
Ti P H
8 2 10
direct
0.012 0.250 0.013
0.250 0.554 0.498
0.250 0.946 0.498
0.488 0.250 0.013
0.512 0.750 0.987
0.750 0.054 0.502
0.750 0.446 0.502
0.988 0.750 0.987
0.250 0.250 0.515
0.750 0.750 0.485
0.003 0.505 0.766
0.003 0.995 0.766
0.250 0.750 0.189
0.497 0.505 0.766
0.497 0.995 0.766
0.503 0.005 0.234
0.503 0.495 0.234
0.750 0.250 0.811
0.997 0.005 0.234
0.997 0.495 0.234
```

**Uncorrected energy**: -116.34 eV per cell
**M_tot**: 0.00 μB/f.u.


[9]
Computed, not measured: a relaxed structure of Ba2LiOs at the GGA-PBE level of DFT.

Cell and atoms, written as POSCAR:
```
Ba2LiOs
1.0
4.614 0.000 0.000
0.000 2.280 5.997
0.000 -2.280 5.997
Ba Li Os
2 1 1
direct
0.000 0.000 0.000
0.500 0.273 0.273
0.500 0.588 0.588
0.000 0.683 0.683
```

**Uncorrected energy**: -14.90 eV per cell
**Energy above the lowest structure with this stoichiometry**: 0.345 eV/f.u.
**M_tot**: 0.02 μB/f.u.


[10]
Computed, not measured: a relaxed structure of In2TcIr at the GGA-PBE level of DFT.

Cell and atoms, written as POSCAR:
```
In2TcIr
1.0
1.570 -2.516 0.000
1.570 2.516 0.000
0.000 0.000 9.036
In Tc Ir
2 1 1
direct
0.000 0.000 0.248
0.000 0.000 0.752
0.500 0.500 0.500
0.500 0.500 0.000
```

**Uncorrected energy**: -23.25 eV per cell
**Energy above the lowest structure with this stoichiometry**: 1.346 eV/f.u.
**M_tot**: 0.38 μB/f.u.


[11]
Computed, not measured: a relaxed structure of ZrGaP at the GGA-PBE level of DFT.

Cell and atoms, written as POSCAR:
```
ZrGaP
1.0
2.287 1.320 6.653
-2.287 1.320 6.653
0.000 -2.641 6.653
Zr Ga P
2 2 2
direct
0.094 0.094 0.094
0.906 0.906 0.906
0.347 0.347 0.347
0.653 0.653 0.653
0.224 0.224 0.224
0.776 0.776 0.776
```

**Uncorrected energy**: -37.16 eV per cell
**Energy above the lowest structure with this stoichiometry**: 0.685 eV/f.u.
**M_tot**: 0.00 μB/f.u.


[12]
Computed, not measured: a relaxed structure of Rb3UCu2S6 at the GGA-PBE level of DFT.

Cell and atoms, written as POSCAR:
```
Rb3UCu2S6
1.0
3.082 -7.535 0.000
3.082 7.535 0.000
-2.625 0.000 7.320
Rb U Cu S
3 1 2 6
direct
0.000 0.000 0.000
0.326 0.674 0.000
0.674 0.326 0.000
0.500 0.500 0.500
0.088 0.912 0.500
0.912 0.088 0.500
0.097 0.353 0.333
0.288 0.288 0.731
0.353 0.097 0.333
0.647 0.903 0.667
0.712 0.712 0.269
0.903 0.647 0.667
```

**Uncorrected formation energy**: -0.890 eV per atom
**Uncorrected energy**: -57.83 eV per cell
**M_tot**: 0.00 μB/f.u.


[13]
Computed, not measured: a relaxed structure of MgBe2Cd at the GGA-PBE level of DFT.

Cell and atoms, written as POSCAR:
```
MgBe2Cd
1.0
2.836 0.000 0.000
0.000 2.836 0.000
0.000 0.000 7.365
Mg Be Cd
1 2 1
direct
0.000 0.000 0.000
0.000 0.000 0.399
0.500 0.500 0.251
0.500 0.500 0.664
```

**Uncorrected energy**: -8.80 eV per cell
**Energy above the lowest structure with this stoichiometry**: 0.000 eV/f.u.
**M_tot**: 0.00 μB/f.u.


[14]
Computed, not measured: a relaxed structure of KScRh at the GGA-PBE level of DFT.

Cell and atoms, written as POSCAR:
```
KScRh
1.0
4.744 0.000 0.000
-2.372 4.109 0.000
0.000 0.000 3.504
K Sc Rh
1 1 1
direct
0.000 0.000 0.000
0.333 0.667 0.570
0.667 0.333 0.400
```

**Uncorrected energy**: -13.64 eV per cell
**Energy above the lowest structure with this stoichiometry**: 1.586 eV/f.u.
**M_tot**: 0.00 μB/f.u.